DFT (PBE) results for a geometry-optimized Nd2In2Sn3 structure.

Total DFT energy (no corrections): -119.3 eV per cell

Cell: 9.3952 9.3952 9.3952 Å, 90.00 90.00 90.00°
Space group I2_13 (No. 199)
Inequivalent atoms, fractional coordinates:
1 Nd 0.2370 0.2370 0.2370 [8 per cell]
2 In 0.0703 0.4297 0.5703 [8 per cell]
3 Sn 0.0000 0.2500 0.9850 [12 per cell]